Record 1
{
  "formula": "CsBaSi2P",
  "functional": "PBE",
  "state": "optimized geometry",
  "total_energy_ev_per_atom": -2.537,
  "density_g_cm3": 3.35,
  "sg": "P4/mmm (123)",
  "volume_a3_per_cell": 177.1,
  "raw_formation_energy_mev_per_atom": 1269,
  "cell": [[5.575, 0.000, 0.000], [0.000, 5.575, 0.000], [0.000, 0.000, 5.697]],
  "species": ["Cs", "Ba", "Si", "Si", "P"],
  "frac_coords": [[0.000, 0.000, 0.000], [0.500, 0.500, 0.500], [0.000, 0.500, 0.000], [0.500, 0.000, 0.000], [0.000, 0.000, 0.500]]
}

***

Record 2
{
  "formula": "CsBa2SrP",
  "functional": "PBE",
  "state": "optimized geometry",
  "total_energy_ev_per_atom": -2.720,
  "density_g_cm3": 3.26,
  "ef_ev_per_atom": -0.362,
  "sg": "P4/mmm (123)",
  "volume_a3_per_cell": 267.8,
  "cell": [[6.568, 0.000, 0.000], [0.000, 6.568, 0.000], [0.000, 0.000, 6.209]],
  "species": ["Cs", "Ba", "Ba", "Sr", "P"],
  "frac_coords": [[0.000, 0.000, 0.000], [0.000, 0.500, 0.500], [0.500, 0.000, 0.500], [0.500, 0.500, 0.000], [0.500, 0.500, 0.500]]
}

***

Record 3
{
  "formula": "CsBaTaP2",
  "functional": "PBE",
  "state": "optimized geometry",
  "total_energy_ev_per_atom": -3.241,
  "density_g_cm3": 4.05,
  "ef_ev_per_atom": 1.849,
  "sg": "P4/mmm (123)",
  "volume_a3_per_cell": 210.4,
  "cell": [[5.739, 0.000, 0.000], [0.000, 5.739, 0.000], [0.000, 0.000, 6.386]],
  "species": ["Cs", "Ba", "Ta", "P", "P"],
  "frac_coords": [[0.000, 0.000, 0.000], [0.000, 0.000, 0.500], [0.500, 0.500, 0.000], [0.000, 0.500, 0.500], [0.500, 0.000, 0.500]]
}

***

Record 4
{
  "formula": "Cs2BaTlP",
  "functional": "PBE",
  "state": "optimized geometry",
  "total_energy_ev_per_atom": -1.966,
  "density_g_cm3": 2.95,
  "ef_ev_per_atom": 0.315,
  "sg": "P4/mmm (123)",
  "volume_a3_per_cell": 359.7,
  "cell": [[7.939, 0.000, 0.000], [0.000, 7.939, 0.000], [0.000, 0.000, 5.706]],
  "species": ["Cs", "Cs", "Ba", "Tl", "P"],
  "frac_coords": [[0.000, 0.500, 0.000], [0.500, 0.000, 0.000], [0.000, 0.000, 0.000], [0.500, 0.500, 0.500], [0.000, 0.000, 0.500]]
}

***

Record 5
{
  "formula": "CsBaZn2P",
  "functional": "PBE",
  "state": "optimized geometry",
  "total_energy_ev_per_atom": -2.025,
  "density_g_cm3": 4.30,
  "ef_ev_per_atom": 0.122,
  "sg": "P4/mmm (123)",
  "volume_a3_per_cell": 167.0,
  "cell": [[5.244, 0.000, 0.000], [0.000, 5.244, 0.000], [0.000, 0.000, 6.072]],
  "species": ["Cs", "Ba", "Zn", "Zn", "P"],
  "frac_coords": [[0.000, 0.000, 0.000], [0.500, 0.500, 0.000], [0.000, 0.500, 0.500], [0.500, 0.000, 0.500], [0.500, 0.500, 0.500]]
}

***

Record 6
{
  "formula": "CsBaPaS4",
  "functional": "PBE",
  "state": "optimized geometry",
  "total_energy_ev_per_atom": -5.832,
  "density_g_cm3": 4.53,
  "sg": "I4mm (107)",
  "volume_a3_per_cell": 461.1,
  "raw_formation_energy_mev_per_atom": -1720,
  "cell": [[5.303, 0.000, 0.000], [0.000, 5.303, 0.000], [0.000, 0.000, 16.399]],
  "species": ["Cs", "Cs", "Ba", "Ba", "Pa", "Pa", "S", "S", "S", "S", "S", "S", "S", "S"],
  "frac_coords": [[0.000, 0.000, 0.000], [0.500, 0.500, 0.500], [0.000, 0.000, 0.715], [0.500, 0.500, 0.215], [0.000, 0.000, 0.358], [0.500, 0.500, 0.858], [0.000, 0.000, 0.200], [0.000, 0.000, 0.515], [0.000, 0.500, 0.345], [0.000, 0.500, 0.845], [0.500, 0.000, 0.345], [0.500, 0.000, 0.845], [0.500, 0.500, 0.015], [0.500, 0.500, 0.700]]
}

***

Record 7
{
  "formula": "Cs3Ba2PaS6",
  "functional": "PBE",
  "state": "optimized geometry",
  "total_energy_ev_per_atom": -5.097,
  "density_g_cm3": 4.32,
  "sg": "C2/m (12)",
  "volume_a3_per_cell": 421.2,
  "raw_formation_energy_mev_per_atom": -1708,
  "cell": [[3.898, -6.736, 0.000], [3.898, 6.736, 0.000], [-2.600, 0.000, 8.021]],
  "species": ["Cs", "Cs", "Cs", "Ba", "Ba", "Pa", "S", "S", "S", "S", "S", "S"],
  "frac_coords": [[0.000, 0.000, 0.000], [0.329, 0.671, 0.000], [0.671, 0.329, 0.000], [0.166, 0.834, 0.500], [0.834, 0.166, 0.500], [0.500, 0.500, 0.500], [0.151, 0.437, 0.311], [0.279, 0.279, 0.691], [0.437, 0.151, 0.311], [0.563, 0.849, 0.689], [0.721, 0.721, 0.309], [0.849, 0.563, 0.689]]
}

***

Record 8
{
  "formula": "Cs4BaPa3S12",
  "functional": "PBE",
  "state": "optimized geometry",
  "total_energy_ev_per_atom": -5.537,
  "density_g_cm3": 4.37,
  "sg": "Im-3m (229)",
  "volume_a3_per_cell": 663.9,
  "raw_formation_energy_mev_per_atom": -1369,
  "cell": [[-5.496, 5.496, 5.496], [5.496, -5.496, 5.496], [5.496, 5.496, -5.496]],
  "species": ["Cs", "Cs", "Cs", "Cs", "Ba", "Pa", "Pa", "Pa", "S", "S", "S", "S", "S", "S", "S", "S", "S", "S", "S", "S"],
  "frac_coords": [[0.000, 0.000, 0.500], [0.000, 0.500, 0.000], [0.500, 0.000, 0.000], [0.500, 0.500, 0.500], [0.000, 0.000, 0.000], [0.000, 0.500, 0.500], [0.500, 0.000, 0.500], [0.500, 0.500, 0.000], [0.000, 0.273, 0.273], [0.000, 0.727, 0.727], [0.250, 0.500, 0.750], [0.250, 0.750, 0.500], [0.273, 0.000, 0.273], [0.273, 0.273, 0.000], [0.500, 0.250, 0.750], [0.500, 0.750, 0.250], [0.727, 0.000, 0.727], [0.727, 0.727, 0.000], [0.750, 0.250, 0.500], [0.750, 0.500, 0.250]]
}

***

Record 9
{
  "formula": "Cs2Ba2PaS6",
  "functional": "PBE",
  "state": "optimized geometry",
  "total_energy_ev_per_atom": -5.206,
  "density_g_cm3": 3.78,
  "sg": "C2/m (12)",
  "volume_a3_per_cell": 423.5,
  "raw_formation_energy_mev_per_atom": -1586,
  "cell": [[3.936, -6.614, 0.000], [3.936, 6.614, 0.000], [-2.662, 0.000, 8.133]],
  "species": ["Cs", "Cs", "Ba", "Ba", "Pa", "S", "S", "S", "S", "S", "S"],
  "frac_coords": [[0.173, 0.827, 0.000], [0.827, 0.173, 0.000], [0.338, 0.662, 0.500], [0.662, 0.338, 0.500], [0.000, 0.000, 0.500], [0.058, 0.348, 0.683], [0.216, 0.216, 0.314], [0.348, 0.058, 0.683], [0.652, 0.942, 0.317], [0.784, 0.784, 0.686], [0.942, 0.652, 0.317]]
}

***

Record 10
{
  "formula": "CsBaPaSe4",
  "functional": "PBE",
  "state": "optimized geometry",
  "total_energy_ev_per_atom": -5.310,
  "density_g_cm3": 5.21,
  "sg": "Cmcm (63)",
  "volume_a3_per_cell": 521.3,
  "raw_formation_energy_mev_per_atom": -1565,
  "cell": [[3.893, -8.529, 0.000], [3.893, 8.529, 0.000], [0.000, 0.000, 7.850]],
  "species": ["Cs", "Cs", "Ba", "Ba", "Pa", "Pa", "Se", "Se", "Se", "Se", "Se", "Se", "Se", "Se"],
  "frac_coords": [[0.101, 0.899, 0.750], [0.899, 0.101, 0.250], [0.386, 0.614, 0.750], [0.614, 0.386, 0.250], [0.255, 0.745, 0.250], [0.745, 0.255, 0.750], [0.000, 0.500, 0.000], [0.000, 0.500, 0.500], [0.099, 0.901, 0.250], [0.418, 0.582, 0.250], [0.500, 0.000, 0.000], [0.500, 0.000, 0.500], [0.582, 0.418, 0.750], [0.901, 0.099, 0.750]]
}

***

Record 11
{
  "formula": "Cs3Ba2PaTe6",
  "functional": "PBE",
  "state": "optimized geometry",
  "total_energy_ev_per_atom": -4.218,
  "density_g_cm3": 4.93,
  "sg": "C2/m (12)",
  "volume_a3_per_cell": 562.4,
  "raw_formation_energy_mev_per_atom": -1322,
  "cell": [[4.290, -7.411, 0.000], [4.290, 7.411, 0.000], [-2.873, 0.000, 8.846]],
  "species": ["Cs", "Cs", "Cs", "Ba", "Ba", "Pa", "Te", "Te", "Te", "Te", "Te", "Te"],
  "frac_coords": [[0.000, 0.000, 0.000], [0.326, 0.674, 0.000], [0.674, 0.326, 0.000], [0.166, 0.834, 0.500], [0.834, 0.166, 0.500], [0.500, 0.500, 0.500], [0.141, 0.434, 0.303], [0.277, 0.277, 0.700], [0.434, 0.141, 0.303], [0.566, 0.859, 0.697], [0.723, 0.723, 0.300], [0.859, 0.566, 0.697]]
}

***

Record 12
{
  "formula": "Cs2BaPb2",
  "functional": "PBE",
  "state": "optimized geometry",
  "total_energy_ev_per_atom": -2.336,
  "density_g_cm3": 5.39,
  "ef_ev_per_atom": -0.127,
  "sg": "I4/mmm (139)",
  "volume_a3_per_cell": 503.4,
  "cell": [[5.391, 0.000, 0.000], [0.000, 5.391, 0.000], [0.000, 0.000, 17.319]],
  "species": ["Cs", "Cs", "Cs", "Cs", "Ba", "Ba", "Pb", "Pb", "Pb", "Pb"],
  "frac_coords": [[0.000, 0.500, 0.250], [0.000, 0.500, 0.750], [0.500, 0.000, 0.250], [0.500, 0.000, 0.750], [0.000, 0.000, 0.000], [0.500, 0.500, 0.500], [0.000, 0.000, 0.416], [0.000, 0.000, 0.584], [0.500, 0.500, 0.084], [0.500, 0.500, 0.916]]
}

***

Record 13
{
  "formula": "CsBa3Pb",
  "functional": "PBE",
  "state": "optimized geometry",
  "total_energy_ev_per_atom": -2.210,
  "density_g_cm3": 3.62,
  "ef_ev_per_atom": -0.144,
  "sg": "Pm-3m (221)",
  "volume_a3_per_cell": 345.1,
  "cell": [[7.014, 0.000, 0.000], [0.000, 7.014, 0.000], [0.000, 0.000, 7.014]],
  "species": ["Cs", "Ba", "Ba", "Ba", "Pb"],
  "frac_coords": [[0.000, 0.000, 0.000], [0.000, 0.500, 0.500], [0.500, 0.000, 0.500], [0.500, 0.500, 0.000], [0.500, 0.500, 0.500]]
}

***

Record 14
{
  "formula": "CsBaPb3",
  "functional": "PBE",
  "state": "optimized geometry",
  "total_energy_ev_per_atom": -2.121,
  "density_g_cm3": 5.82,
  "ef_ev_per_atom": 0.659,
  "sg": "Pm-3m (221)",
  "volume_a3_per_cell": 254.4,
  "cell": [[6.336, 0.000, 0.000], [0.000, 6.336, 0.000], [0.000, 0.000, 6.336]],
  "species": ["Cs", "Ba", "Pb", "Pb", "Pb"],
  "frac_coords": [[0.000, 0.000, 0.000], [0.500, 0.500, 0.500], [0.000, 0.000, 0.500], [0.000, 0.500, 0.000], [0.500, 0.000, 0.000]]
}

***

Record 15
{
  "formula": "Cs2BaPb",
  "functional": "PBE",
  "state": "optimized geometry",
  "total_energy_ev_per_atom": -1.742,
  "density_g_cm3": 4.96,
  "ef_ev_per_atom": 0.093,
  "sg": "Fm-3m (225)",
  "volume_a3_per_cell": 817.6,
  "cell": [[9.351, 0.000, 0.000], [0.000, 9.351, 0.000], [0.000, 0.000, 9.351]],
  "species": ["Cs", "Cs", "Cs", "Cs", "Cs", "Cs", "Cs", "Cs", "Ba", "Ba", "Ba", "Ba", "Pb", "Pb", "Pb", "Pb"],
  "frac_coords": [[0.250, 0.250, 0.250], [0.250, 0.250, 0.750], [0.250, 0.750, 0.250], [0.250, 0.750, 0.750], [0.750, 0.250, 0.250], [0.750, 0.250, 0.750], [0.750, 0.750, 0.250], [0.750, 0.750, 0.750], [0.000, 0.000, 0.000], [0.000, 0.500, 0.500], [0.500, 0.000, 0.500], [0.500, 0.500, 0.000], [0.000, 0.000, 0.500], [0.000, 0.500, 0.000], [0.500, 0.000, 0.000], [0.500, 0.500, 0.500]]
}

***

Record 16
{
  "formula": "Cs2BaPb2",
  "functional": "PBE",
  "state": "optimized geometry",
  "total_energy_ev_per_atom": -2.156,
  "density_g_cm3": 5.85,
  "ef_ev_per_atom": 0.053,
  "sg": "P4/mbm (127)",
  "volume_a3_per_cell": 464.1,
  "cell": [[10.857, 0.000, 0.000], [0.000, 10.857, 0.000], [0.000, 0.000, 3.937]],
  "species": ["Cs", "Cs", "Cs", "Cs", "Ba", "Ba", "Pb", "Pb", "Pb", "Pb"],
  "frac_coords": [[0.120, 0.380, 0.000], [0.380, 0.880, 0.000], [0.620, 0.120, 0.000], [0.880, 0.620, 0.000], [0.000, 0.000, 0.000], [0.500, 0.500, 0.000], [0.180, 0.680, 0.500], [0.320, 0.180, 0.500], [0.680, 0.820, 0.500], [0.820, 0.320, 0.500]]
}

***

Record 17
{
  "formula": "Cs2Ba2Pb15",
  "functional": "PBE",
  "state": "optimized geometry",
  "total_energy_ev_per_atom": -3.393,
  "density_g_cm3": 8.64,
  "ef_ev_per_atom": -0.173,
  "sg": "R-3m (166)",
  "volume_a3_per_cell": 700.9,
  "cell": [[5.855, 3.381, 5.901], [-5.855, 3.381, 5.901], [0.000, -6.761, 5.901]],
  "species": ["Cs", "Cs", "Ba", "Ba", "Pb", "Pb", "Pb", "Pb", "Pb", "Pb", "Pb", "Pb", "Pb", "Pb", "Pb", "Pb", "Pb", "Pb", "Pb"],
  "frac_coords": [[0.150, 0.150, 0.150], [0.850, 0.850, 0.850], [0.394, 0.394, 0.394], [0.606, 0.606, 0.606], [0.000, 0.500, 0.500], [0.147, 0.147, 0.658], [0.147, 0.658, 0.147], [0.208, 0.500, 0.792], [0.208, 0.792, 0.500], [0.342, 0.853, 0.853], [0.500, 0.000, 0.500], [0.500, 0.208, 0.792], [0.500, 0.500, 0.000], [0.500, 0.792, 0.208], [0.658, 0.147, 0.147], [0.792, 0.208, 0.500], [0.792, 0.500, 0.208], [0.853, 0.342, 0.853], [0.853, 0.853, 0.342]]
}

***

Record 18
{
  "formula": "CsBa3Pb",
  "functional": "PBE",
  "state": "optimized geometry",
  "total_energy_ev_per_atom": -1.457,
  "density_g_cm3": 4.75,
  "ef_ev_per_atom": 0.609,
  "sg": "Pm-3m (221)",
  "volume_a3_per_cell": 262.9,
  "cell": [[6.406, 0.000, 0.000], [0.000, 6.406, 0.000], [0.000, 0.000, 6.406]],
  "species": ["Cs", "Ba", "Ba", "Ba", "Pb"],
  "frac_coords": [[0.000, 0.000, 0.000], [0.000, 0.000, 0.500], [0.000, 0.500, 0.000], [0.500, 0.000, 0.000], [0.500, 0.500, 0.500]]
}

***

Record 19
{
  "formula": "CsBaPb",
  "functional": "PBE",
  "state": "optimized geometry",
  "total_energy_ev_per_atom": -2.290,
  "density_g_cm3": 5.33,
  "ef_ev_per_atom": -0.128,
  "sg": "Ima2 (46)",
  "volume_a3_per_cell": 892.8,
  "cell": [[-6.359, 8.580, 4.091], [6.359, -8.580, 4.091], [6.359, 8.580, -4.091]],
  "species": ["Cs", "Cs", "Cs", "Cs", "Cs", "Cs", "Ba", "Ba", "Ba", "Ba", "Ba", "Ba", "Pb", "Pb", "Pb", "Pb", "Pb", "Pb"],
  "frac_coords": [[0.001, 0.250, 0.251], [0.103, 0.072, 0.531], [0.103, 0.572, 0.031], [0.541, 0.072, 0.969], [0.541, 0.572, 0.469], [0.999, 0.750, 0.749], [0.170, 0.016, 0.152], [0.170, 0.517, 0.654], [0.546, 0.296, 0.750], [0.546, 0.796, 0.250], [0.863, 0.017, 0.848], [0.863, 0.516, 0.346], [0.316, 0.316, 0.000], [0.316, 0.816, 0.500], [0.454, 0.089, 0.365], [0.454, 0.588, 0.865], [0.723, 0.088, 0.635], [0.723, 0.589, 0.135]]
}

***

Record 20
{
  "formula": "CsBaPb3",
  "functional": "PBE",
  "state": "optimized geometry",
  "total_energy_ev_per_atom": -2.397,
  "density_g_cm3": 5.33,
  "ef_ev_per_atom": 0.383,
  "sg": "Pm-3m (221)",
  "volume_a3_per_cell": 278.0,
  "cell": [[6.527, 0.000, 0.000], [0.000, 6.527, 0.000], [0.000, 0.000, 6.527]],
  "species": ["Cs", "Ba", "Pb", "Pb", "Pb"],
  "frac_coords": [[0.000, 0.000, 0.000], [0.500, 0.500, 0.500], [0.000, 0.500, 0.500], [0.500, 0.000, 0.500], [0.500, 0.500, 0.000]]
}

***

Record 21
{
  "formula": "Cs2BaPb4",
  "functional": "PBE",
  "state": "optimized geometry",
  "total_energy_ev_per_atom": -2.955,
  "density_g_cm3": 6.13,
  "ef_ev_per_atom": -0.318,
  "sg": "Cmcm (63)",
  "volume_a3_per_cell": 667.7,
  "cell": [[10.406, -4.678, 0.000], [10.406, 4.678, 0.000], [0.000, 0.000, 6.859]],
  "species": ["Cs", "Cs", "Cs", "Cs", "Ba", "Ba", "Pb", "Pb", "Pb", "Pb", "Pb", "Pb", "Pb", "Pb"],
  "frac_coords": [[0.064, 0.308, 0.250], [0.308, 0.064, 0.750], [0.692, 0.936, 0.250], [0.936, 0.692, 0.750], [0.355, 0.645, 0.750], [0.645, 0.355, 0.250], [0.188, 0.658, 0.250], [0.342, 0.812, 0.250], [0.350, 0.350, 0.000], [0.350, 0.350, 0.500], [0.650, 0.650, 0.000], [0.650, 0.650, 0.500], [0.658, 0.188, 0.750], [0.812, 0.342, 0.750]]
}

***

Record 22
{
  "formula": "CsBaPb",
  "functional": "PBE",
  "state": "optimized geometry",
  "total_energy_ev_per_atom": -2.365,
  "density_g_cm3": 4.71,
  "ef_ev_per_atom": -0.204,
  "sg": "I4mm (107)",
  "volume_a3_per_cell": 336.6,
  "cell": [[4.522, 0.000, 0.000], [0.000, 4.522, 0.000], [0.000, 0.000, 16.461]],
  "species": ["Cs", "Cs", "Ba", "Ba", "Pb", "Pb"],
  "frac_coords": [[0.000, 0.000, 0.000], [0.500, 0.500, 0.500], [0.000, 0.000, 0.747], [0.500, 0.500, 0.247], [0.000, 0.000, 0.349], [0.500, 0.500, 0.849]]
}

***

Record 23
{
  "formula": "CsBaPb3",
  "functional": "PBE",
  "state": "optimized geometry",
  "total_energy_ev_per_atom": -3.116,
  "density_g_cm3": 7.11,
  "ef_ev_per_atom": -0.336,
  "sg": "P2_1/m (11)",
  "volume_a3_per_cell": 416.8,
  "cell": [[4.642, 0.000, 0.000], [0.000, 7.626, 0.000], [-2.318, 0.000, 11.773]],
  "species": ["Cs", "Cs", "Ba", "Ba", "Pb", "Pb", "Pb", "Pb", "Pb", "Pb"],
  "frac_coords": [[0.005, 0.250, 0.012], [0.995, 0.750, 0.988], [0.207, 0.250, 0.414], [0.793, 0.750, 0.586], [0.183, 0.750, 0.365], [0.382, 0.041, 0.764], [0.382, 0.459, 0.764], [0.618, 0.541, 0.236], [0.618, 0.959, 0.236], [0.817, 0.250, 0.635]]
}